[1]
## ErThTl (GGA-PBE)

Data for a relaxed structure of ErThTl.

The structure in extended XYZ format:
```
3
Lattice="-0.294 0.225 3.593 -5.267 -1.039 -0.365 3.509 -4.044 0.540" Properties=species:S:1:pos:R:3 pbc="T T T"
Er -2.403 -1.994 0.686
Th 0.382 -2.888 2.707
Tl -0.031 0.023 0.375
```

Summary:
* mass density: 11.1 g/cm³
* ΔH_f (0 K): 0.03 eV/atom
* V: 30.196 Å³/atom
* SG: P3m1 (156)
* ΔE to the lowest computed polymorph: 152 meV per atom
* crystal system: trigonal
* total magnetization: 0.000 μB per formula unit
* calculated total energy: -4.757 eV per atom

[2]
## Ba4InHg2 (GGA-PBE)

Data for a relaxed structure of Ba4InHg2.

The structure in extended XYZ format:
```
7
Lattice="1.742 -4.990 2.783 1.541 -4.811 -3.188 10.321 -0.192 -0.353" Properties=species:S:1:pos:R:3 pbc="T T T"
Ba 3.338 -6.150 -0.297
Ba 6.708 -8.661 -0.486
Hg 10.204 -7.499 -0.568
Ba 10.265 -3.844 -0.460
Ba 6.895 -1.333 -0.272
Hg 3.399 -2.494 -0.189
In 0.000 0.000 0.000
```

Summary:
* mass density: 5.9 g/cm³
* ΔH_f (0 K): -0.40 eV/atom
* V: 42.963 Å³/atom
* SG: C2/m (12)
* crystal system: monoclinic
* total magnetization: 0.000 μB per formula unit
* calculated total energy: -1.971 eV per atom

[3]
## Y2MgZn (GGA-PBE)

Data for a relaxed structure of Y2MgZn.

The structure in extended XYZ format:
```
4
Lattice="3.410 0.000 0.000 0.000 3.410 0.000 0.000 0.000 8.762" Properties=species:S:1:pos:R:3 pbc="T T T"
Y 1.705 1.705 2.573
Mg 1.705 1.705 6.167
Zn 0.000 0.000 4.533
Y 0.000 0.000 8.633
```

Summary:
* mass density: 4.4 g/cm³
* ΔH_f (0 K): -0.12 eV/atom
* V: 25.478 Å³/atom
* SG: P4mm (99)
* ΔE to the lowest computed polymorph: 112 meV per atom
* crystal system: tetragonal
* total magnetization: 0.000 μB per formula unit
* calculated total energy: -4.069 eV per atom

[4]
## Pu2PaIn (GGA-PBE)

Data for a relaxed structure of Pu2PaIn.

The structure in extended XYZ format:
```
4
Lattice="4.042 0.000 0.000 2.021 3.501 0.000 2.021 1.167 7.252" Properties=species:S:1:pos:R:3 pbc="T T T"
In 4.042 2.334 3.626
Pa 0.000 0.000 0.000
Pu 2.021 1.167 1.440
Pu 6.063 3.501 5.812
```

Summary:
* mass density: 13.5 g/cm³
* ΔH_f (0 K): 0.41 eV/atom
* V: 25.652 Å³/atom
* SG: R-3m (166)
* ΔE to the lowest computed polymorph: 396 meV per atom
* crystal system: trigonal
* total magnetization: 10.873 μB per formula unit
* calculated total energy: -9.820 eV per atom

[5]
## LaDyInAg (GGA-PBE)

Data for a relaxed structure of LaDyInAg.

The structure in extended XYZ format:
```
4
Lattice="5.397 0.000 0.000 2.699 4.674 0.000 2.699 1.558 4.407" Properties=species:S:1:pos:R:3 pbc="T T T"
Ag 2.699 1.558 1.102
In 8.096 4.674 3.305
Dy 0.000 0.000 0.000
La 5.397 3.116 2.204
```

Summary:
* mass density: 7.8 g/cm³
* ΔH_f (0 K): -0.37 eV/atom
* V: 27.797 Å³/atom
* SG: F-43m (216)
* ΔE to the lowest computed polymorph: 27 meV per atom
* crystal system: cubic
* total magnetization: 0.072 μB per formula unit
* calculated total energy: -4.152 eV per atom

[6]
## HfScSbRu2 (GGA-PBE)

Data for a relaxed structure of HfScSbRu2.

The structure in extended XYZ format:
```
5
Lattice="-4.292 -0.289 1.958 -2.095 -1.034 -4.744 0.643 -4.626 0.725" Properties=species:S:1:pos:R:3 pbc="T T T"
Ru -2.146 -0.145 0.979
Sc -1.047 -0.517 -2.372
Hf 0.000 0.000 0.000
Ru 0.321 -2.313 0.362
Sb -2.872 -2.975 -1.030
```

Summary:
* mass density: 7.7 g/cm³
* V: 23.627 Å³/atom
* SG: P4/mmm (123)
* crystal system: tetragonal
* total magnetization: 1.044 μB per formula unit
* uncorrected formation energy: 931 meV per atom
* calculated total energy: -6.861 eV per atom

[7]
## Ce3Si3Au2 (GGA-PBE)

Data for a relaxed structure of Ce3Si3Au2.

The structure in extended XYZ format:
```
16
Lattice="-0.480 0.512 -4.320 3.651 -4.317 1.300 -11.133 -9.377 0.126" Properties=species:S:1:pos:R:3 pbc="T T T"
Ce -9.282 -9.013 -0.036
Si -4.679 -4.883 -2.275
Au 0.350 -2.586 -0.345
Au -4.880 -7.705 -2.587
Au -8.313 -10.597 -2.548
Ce -1.720 -6.730 -2.823
Ce -2.131 -3.151 -2.353
Si 0.010 -0.934 -2.329
Ce 1.320 -4.169 -2.857
Si -3.283 -8.300 -0.618
Si -7.972 -12.249 -0.565
Ce -5.832 -10.031 -0.540
Ce -6.242 -6.452 -0.071
Si -0.432 -5.144 -0.561
Au -3.082 -5.477 -0.306
Si -7.530 -8.039 -2.332
```

Summary:
* mass density: 8.7 g/cm³
* V: 21.393 Å³/atom
* SG: Cmcm (63)
* crystal system: orthorhombic
* total magnetization: 2.249 μB per formula unit
* uncorrected formation energy: -694 meV per atom
* calculated total energy: -5.772 eV per atom